Cs2GaCoO4 (PBE+U, optimized geometry); total magnetization = 4.089 μB per formula unit; mass density = 4.28 Mg/m³; symmetry = Fddd; total energy = -5.126 eV/atom
1.0
-3.3994 3.7615 -0.7397
-5.1302 -0.2633 4.4931
3.9631 8.3444 6.4748
Cs Ga Co O
4 2 2 8
direct
0.1742 0.0000 0.6517 Cs
0.8258 0.0000 0.3483 Cs
0.5758 0.5000 0.8483 Cs
0.9242 0.5000 0.1517 Cs
0.7500 0.5000 0.5000 Ga
0.0000 0.0000 0.0000 Ga
0.2500 0.5000 0.5000 Co
0.5000 0.0000 0.0000 Co
0.2895 0.8352 0.0839 O
0.2086 0.1648 0.9161 O
0.8753 0.8352 0.9161 O
0.6266 0.1648 0.0839 O
0.4605 0.6648 0.4161 O
0.5414 0.3352 0.5839 O
0.8747 0.6648 0.5839 O
0.1234 0.3352 0.4161 O